{"formula": "PmNi3", "functional": "PBE", "state": "optimized geometry", "lattice": [[4.3464, -2.5123, 0.0000], [4.3464, 2.5123, 0.0000], [-2.9079, 0.0000, 8.2348]], "species": ["Pm", "Pm", "Pm", "Ni", "Ni", "Ni", "Ni", "Ni", "Ni", "Ni", "Ni", "Ni"], "fractional_positions": [[0.0000, 0.0000, 0.0000], [0.1388, 0.1388, 0.4163], [0.8612, 0.8612, 0.5837], [0.0818, 0.5807, 0.2430], [0.3333, 0.3333, 0.9983], [0.4189, 0.4189, 0.7565], [0.4193, 0.9182, 0.7570], [0.5000, 0.5000, 0.5000], [0.5807, 0.0818, 0.2430], [0.5811, 0.5811, 0.2435], [0.6667, 0.6667, 0.0017], [0.9182, 0.4193, 0.7570]], "delta_e_f_kj_per_mol_fu": -129, "crystal_system": "monoclinic", "sg": "C2/m (12)"}